No. 1
Compound: MnTc2Ru
Source: Alexandria via LeMat-Bulk
Functional: PBE-GGA
Structure: relaxed

Lattice parameters (Å, degrees): 4.309 4.309 3.054 90.00 90.00 90.00
Fractional coordinates of all 4 atoms:
Mn 0.000 0.000 0.000
Tc 0.000 0.500 0.500
Tc 0.500 0.000 0.500
Ru 0.500 0.500 0.000

Calculated values
The formation energy comes out at 0.276 eV per atom. The value obtained for the energy is -9.52 eV per atom. Its offset from the most stable computed form is 220 meV per atom.



No. 2
Compound: GePtIN2
Source: Alexandria via LeMat-Bulk
Functional: PBE-GGA
Structure: relaxed

Lattice parameters (Å, degrees): 3.735 3.735 8.309 90.00 90.00 90.00
Fractional coordinates of all 5 atoms:
Ge 0.000 0.000 0.000
Pt 0.500 0.500 0.500
I 0.000 0.000 0.500
N 0.000 0.500 0.000
N 0.500 0.000 0.000

Calculated values
The value obtained for the energy is -4.45 eV per atom. The energy relative to the elements, uncorrected is 1.3199 eV/atom. Its offset from the most stable computed form is 13 meV per atom.



No. 3
Compound: Ga4FeNi15
Source: Alexandria via LeMat-Bulk
Functional: PBE-GGA
Structure: relaxed

Lattice parameters (Å, degrees): 3.573 3.573 17.885 90.00 90.00 90.00
Fractional coordinates of all 20 atoms:
Ga 0.000 0.000 0.100
Ga 0.000 0.000 0.301
Ga 0.000 0.000 0.699
Ga 0.000 0.000 0.900
Fe 0.000 0.000 0.500
Ni 0.000 0.500 0.000
Ni 0.000 0.500 0.201
Ni 0.000 0.500 0.403
Ni 0.000 0.500 0.597
Ni 0.000 0.500 0.799
Ni 0.500 0.000 0.000
Ni 0.500 0.000 0.201
Ni 0.500 0.000 0.403
Ni 0.500 0.000 0.597
Ni 0.500 0.000 0.799
Ni 0.500 0.500 0.101
Ni 0.500 0.500 0.302
Ni 0.500 0.500 0.500
Ni 0.500 0.500 0.698
Ni 0.500 0.500 0.899

Calculated values
The formation energy comes out at -0.248 eV per atom. The value obtained for the energy is -5.61 eV per atom.



No. 4
Compound: BeSbAs
Source: Alexandria via LeMat-Bulk
Functional: PBE-GGA
Structure: relaxed

Lattice parameters (Å, degrees): 3.296 3.296 11.292 90.00 90.00 90.00
Fractional coordinates of all 6 atoms:
Be 0.000 0.000 0.000
Be 0.500 0.500 0.500
Sb 0.000 0.000 0.229
Sb 0.500 0.500 0.729
As 0.000 0.000 0.469
As 0.500 0.500 0.969

Calculated values
The value obtained for the energy is -3.91 eV per atom. The energy relative to the elements, uncorrected is 0.2546 eV/atom. Its offset from the most stable computed form is 172 meV per atom.



No. 5
Compound: Er4Al12Co
Source: Alexandria via LeMat-Bulk
Functional: PBE-GGA
Structure: relaxed

Lattice parameters (Å, degrees): 7.397 7.397 7.397 109.47 109.47 109.47
Fractional coordinates of all 17 atoms:
Er 0.000 0.000 0.500
Er 0.000 0.500 0.000
Er 0.500 0.000 0.000
Er 0.500 0.500 0.500
Al 0.000 0.278 0.278
Al 0.000 0.722 0.722
Al 0.250 0.500 0.750
Al 0.250 0.750 0.500
Al 0.278 0.000 0.278
Al 0.278 0.278 0.000
Al 0.500 0.250 0.750
Al 0.500 0.750 0.250
Al 0.722 0.000 0.722
Al 0.722 0.722 0.000
Al 0.750 0.250 0.500
Al 0.750 0.500 0.250
Co 0.000 0.000 0.000

Calculated values
The formation energy comes out at -0.470 eV per atom. The value obtained for the energy is -4.60 eV per atom.



No. 6
Compound: PaBeAlO5
Source: Alexandria via LeMat-Bulk
Functional: PBE-GGA
Structure: relaxed

Lattice parameters (Å, degrees): 5.171 5.171 7.934 104.59 104.59 102.64
Fractional coordinates of all 16 atoms:
Pa 0.000 0.000 0.000
Pa 0.000 0.000 0.500
Be 0.315 0.685 0.750
Be 0.685 0.315 0.250
Al 0.370 0.630 0.250
Al 0.630 0.370 0.750
O 0.017 0.652 0.799
O 0.144 0.856 0.250
O 0.320 0.409 0.591
O 0.348 0.983 0.701
O 0.409 0.320 0.091
O 0.591 0.680 0.909
O 0.652 0.017 0.299
O 0.680 0.591 0.409
O 0.856 0.144 0.750
O 0.983 0.348 0.201

Calculated values
The value obtained for the energy is -8.11 eV per atom. The energy relative to the elements, uncorrected is -2.8899 eV/atom.



No. 7
Compound: TaCr2Te
Source: Alexandria via LeMat-Bulk
Functional: PBE-GGA
Structure: relaxed

Lattice parameters (Å, degrees): 3.062 4.275 5.094 90.00 101.55 90.00
Fractional coordinates of all 4 atoms:
Ta 0.000 0.000 0.000
Cr 0.272 0.500 0.736
Cr 0.539 0.000 0.554
Te 0.584 0.500 0.268

Calculated values
The value obtained for the energy is -8.12 eV per atom. The energy relative to the elements, uncorrected is 0.4360 eV/atom.



No. 8
Compound: SiPbAu
Source: Alexandria via LeMat-Bulk
Functional: PBE-GGA
Structure: relaxed

Lattice parameters (Å, degrees): 4.268 4.268 4.462 90.00 90.00 120.00
Fractional coordinates of all 3 atoms:
Si 0.000 0.000 0.000
Pb 0.333 0.667 0.499
Au 0.667 0.333 0.996

Calculated values
The value obtained for the energy is -4.08 eV per atom. The energy relative to the elements, uncorrected is 0.0561 eV/atom. Its offset from the most stable computed form is 3 meV per atom.



No. 9
Compound: MgSb2Ru
Source: Alexandria via LeMat-Bulk
Functional: PBE-GGA
Structure: relaxed

Lattice parameters (Å, degrees): 3.184 4.187 13.143 90.00 90.00 90.00
Fractional coordinates of all 8 atoms:
Mg 0.000 0.000 0.000
Mg 0.500 0.500 0.500
Sb 0.000 0.000 0.620
Sb 0.000 0.500 0.841
Sb 0.500 0.000 0.341
Sb 0.500 0.500 0.120
Ru 0.000 0.500 0.286
Ru 0.500 0.000 0.786

Calculated values
The value obtained for the energy is -4.84 eV per atom. The energy relative to the elements, uncorrected is -0.0587 eV/atom.



No. 10
Compound: PaReSnMo
Source: Alexandria via LeMat-Bulk
Functional: PBE-GGA
Structure: relaxed

Lattice parameters (Å, degrees): 6.756 6.756 6.756 90.00 90.00 90.00
Fractional coordinates of all 16 atoms:
Pa 0.000 0.000 0.000
Pa 0.000 0.500 0.500
Pa 0.500 0.000 0.500
Pa 0.500 0.500 0.000
Re 0.250 0.250 0.250
Re 0.250 0.750 0.750
Re 0.750 0.250 0.750
Re 0.750 0.750 0.250
Sn 0.000 0.000 0.500
Sn 0.000 0.500 0.000
Sn 0.500 0.000 0.000
Sn 0.500 0.500 0.500
Mo 0.250 0.250 0.750
Mo 0.250 0.750 0.250
Mo 0.750 0.250 0.250
Mo 0.750 0.750 0.750

Calculated values
The formation energy comes out at 0.140 eV per atom. The value obtained for the energy is -9.05 eV per atom.



No. 11
Compound: NaIn6Pb
Source: Alexandria via LeMat-Bulk
Functional: PBE-GGA
Structure: relaxed

Lattice parameters (Å, degrees): 5.662 6.722 11.638 90.00 90.00 90.00
Fractional coordinates of all 16 atoms:
Na 0.000 0.000 0.000
Na 0.000 0.500 0.500
In 0.000 0.000 0.501
In 0.000 0.246 0.748
In 0.000 0.254 0.248
In 0.000 0.500 0.001
In 0.000 0.746 0.248
In 0.000 0.754 0.748
In 0.500 0.000 0.829
In 0.500 0.245 0.584
In 0.500 0.255 0.084
In 0.500 0.500 0.329
In 0.500 0.745 0.084
In 0.500 0.755 0.584
Pb 0.500 0.000 0.332
Pb 0.500 0.500 0.832

Calculated values
The formation energy comes out at -0.049 eV per atom. The value obtained for the energy is -2.73 eV per atom. Its offset from the most stable computed form is 0 meV per atom.



No. 12
Compound: BaYAl3
Source: Alexandria via LeMat-Bulk
Functional: PBE-GGA
Structure: relaxed

Lattice parameters (Å, degrees): 5.539 5.539 5.539 90.00 90.00 90.00
Fractional coordinates of all 5 atoms:
Ba 0.000 0.000 0.000
Y 0.500 0.500 0.500
Al 0.000 0.000 0.500
Al 0.000 0.500 0.000
Al 0.500 0.000 0.000

Calculated values
The formation energy comes out at 1.203 eV per atom. The value obtained for the energy is -2.72 eV per atom. Its offset from the most stable computed form is 798 meV per atom.



Density values (in g/cm³) by entry order: 10.31 6.05 8.84 5.57 5.61 6.08 10.49 10.20 6.99 13.61 6.89 3.00.